A relaxed GaPd12Au6 crystal, computed with GGA-PBE.

Summary:
- V (A^3/atom) = 16.67
- size of the total moment (μB/f.u.) = 0.0
- raw total energy (eV per atom) = -4.5026
- energy of formation (eV per atom) = -0.0286

POSCAR file:
```
GaPd12Au6
1.0
-0.720 6.727 0.853
-4.076 0.052 -5.467
-5.250 -1.294 4.154
Ga Pd Au
1 12 6
Direct
0.000 0.000 0.000
0.796 0.532 0.453
0.453 0.796 0.532
0.532 0.453 0.796
0.204 0.468 0.547
0.547 0.204 0.468
0.468 0.547 0.204
0.043 0.144 0.366
0.856 0.634 0.957
0.634 0.957 0.856
0.957 0.856 0.634
0.144 0.366 0.043
0.366 0.043 0.144
0.724 0.881 0.264
0.736 0.276 0.119
0.119 0.736 0.276
0.276 0.119 0.736
0.264 0.724 0.881
0.881 0.264 0.724
```

A relaxed Ga2Pd2Au crystal, computed with GGA-PBE.

Summary:
- V (A^3/atom) = 17.51
- ΔE to the lowest computed polymorph (meV per atom) = 211.3
- size of the total moment (μB/f.u.) = 0.0
- raw total energy (eV per atom) = -4.2071
- energy of formation (eV per atom) = -0.2637

POSCAR file:
```
Ga2Pd2Au
1.0
-1.834 -2.979 1.828
1.962 -2.586 -2.247
4.182 -2.975 3.607
Au Ga Pd
1 2 2
Direct
0.000 0.000 0.000
0.391 0.391 0.218
0.609 0.609 0.782
0.750 0.250 0.500
0.250 0.750 0.500
```

A relaxed Ga2Pd5Au12 crystal, computed with GGA-PBE.

Summary:
- V (A^3/atom) = 18.61
- size of the total moment (μB/f.u.) = 0.0
- raw total energy (eV per atom) = -3.7292
- energy of formation (eV per atom) = 0.0259

POSCAR file:
```
Ga2Pd5Au12
1.0
5.787 0.000 0.000
-2.893 9.369 -0.157
0.000 -3.726 6.584
Ga Pd Au
2 5 12
Direct
0.720 0.000 0.000
0.280 0.000 0.000
0.254 0.508 0.499
0.248 0.497 0.996
0.000 0.000 0.500
0.752 0.503 0.004
0.746 0.492 0.501
0.080 0.160 0.291
0.097 0.683 0.878
0.586 0.683 0.878
0.112 0.705 0.355
0.594 0.705 0.355
0.522 0.044 0.712
0.478 0.956 0.288
0.888 0.295 0.645
0.406 0.295 0.645
0.903 0.317 0.122
0.414 0.317 0.122
0.920 0.840 0.709
```

A relaxed Ga4PdAu crystal, computed with GGA-PBE.

Summary:
- V (A^3/atom) = 19.02
- ΔE to the lowest computed polymorph (meV per atom) = 0.0
- size of the total moment (μB/f.u.) = 0.0
- raw total energy (eV per atom) = -3.7729
- energy of formation (eV per atom) = -0.3433

POSCAR file:
```
Ga4PdAu
1.0
-6.012 -1.563 0.610
1.016 -5.107 -3.054
3.766 0.482 6.415
Ga Pd Au
8 2 2
Direct
0.000 0.260 0.000
0.500 0.740 0.000
0.263 0.500 0.500
0.737 0.500 0.500
0.263 0.000 0.500
0.500 0.260 0.000
0.737 0.000 0.500
0.000 0.740 0.000
0.374 0.624 0.248
0.626 0.376 0.752
0.124 0.874 0.748
0.876 0.126 0.252
```

A relaxed Ga2Pd5Au crystal, computed with GGA-PBE.

Summary:
- V (A^3/atom) = 15.83
- size of the total moment (μB/f.u.) = 0.0
- raw total energy (eV per atom) = -4.8291
- energy of formation (eV per atom) = -0.4172

POSCAR file:
```
Ga2Pd5Au
1.0
-1.278 -2.338 1.212
4.279 -5.158 -1.901
4.545 -1.733 4.987
Ga Pd Au
2 5 1
Direct
0.771 0.729 0.729
0.229 0.271 0.271
0.000 0.500 0.500
0.634 0.611 0.121
0.366 0.389 0.879
0.366 0.879 0.389
0.634 0.121 0.611
0.000 0.000 0.000
```

A relaxed Ga2PdAu crystal, computed with GGA-PBE.

Summary:
- V (A^3/atom) = 18.02
- ΔE to the lowest computed polymorph (meV per atom) = 200.4
- size of the total moment (μB/f.u.) = 0.0
- raw total energy (eV per atom) = -3.7991
- energy of formation (eV per atom) = -0.1681

POSCAR file:
```
Ga2PdAu
1.0
-5.863 2.827 3.104
0.556 -4.761 5.387
-1.054 0.809 5.650
Au Ga Pd
2 4 2
Direct
0.000 0.000 0.000
0.750 0.250 0.500
0.616 0.125 0.250
0.134 0.625 0.250
0.375 0.384 0.750
0.875 0.866 0.750
0.500 0.500 0.000
0.250 0.750 0.500
```

A relaxed GaPdAu3 crystal, computed with GGA-PBE.

Summary:
- V (A^3/atom) = 21.92
- ΔE to the lowest computed polymorph (meV per atom) = 535.6
- size of the total moment (μB/f.u.) = 0.0
- raw total energy (eV per atom) = -3.1178
- energy of formation (eV per atom) = 0.4926

POSCAR file:
```
GaPdAu3
1.0
-0.075 2.480 4.093
-4.253 1.841 -1.194
-2.193 -3.656 2.175
Au Ga Pd
3 1 1
Direct
0.000 0.500 0.000
0.000 0.000 0.500
0.500 0.000 0.000
0.000 0.000 0.000
0.500 0.500 0.500
```

A relaxed Ga4Pd2Au5 crystal, computed with GGA-PBE.

Summary:
- V (A^3/atom) = 19.84
- size of the total moment (μB/f.u.) = 0.0
- raw total energy (eV per atom) = -3.6010
- energy of formation (eV per atom) = -0.0664

POSCAR file:
```
Ga4Pd2Au5
1.0
-1.247 -0.897 2.532
-6.032 -6.008 -5.098
8.640 -2.015 1.809
Ga Pd Au
4 2 5
Direct
0.673 0.673 0.346
0.000 0.227 0.000
0.327 0.327 0.654
0.000 0.773 0.000
0.160 0.160 0.320
0.840 0.840 0.680
0.167 0.450 0.334
0.833 0.550 0.666
0.167 0.884 0.334
0.500 0.000 0.000
0.833 0.116 0.666
```